1.
VASP calculation (PBE) on a relaxed structure of TaTlS3.

Cell lengths 9.3652, 3.5143, 14.4956 Å; angles 90.00, 90.00, 90.00 degrees
Sites, in units of the cell vectors:
S 0.8085 0.7500 0.0002
S 0.5219 0.2500 0.0982
S 0.2454 0.7500 0.2134
S 0.7454 0.7500 0.2866
S 0.0219 0.2500 0.4018
S 0.3085 0.7500 0.4998
S 0.6915 0.2500 0.5002
S 0.9781 0.7500 0.5982
S 0.2546 0.2500 0.7134
S 0.7546 0.2500 0.7866
S 0.4781 0.7500 0.9018
S 0.1915 0.2500 0.9998
Ta 0.3394 0.7500 0.0699
Ta 0.8394 0.7500 0.4301
Ta 0.1606 0.2500 0.5699
Ta 0.6606 0.2500 0.9301
Tl 0.9737 0.2500 0.1714
Tl 0.4737 0.2500 0.3286
Tl 0.5263 0.7500 0.6714
Tl 0.0263 0.7500 0.8286

Calculated values
Crystal system: orthorhombic

=====

2.
VASP calculation (PBE) on a relaxed structure of Ta3TlS5.

Cell lengths 5.6898, 5.6898, 7.3275 Å; angles 90.00, 90.00, 120.00 degrees
Sites, in units of the cell vectors:
S 0.6667 0.3333 0.2414
S 0.3333 0.6667 0.2414
S 0.0000 0.0000 0.5000
S 0.6667 0.3333 0.7586
S 0.3333 0.6667 0.7586
Ta 0.5000 0.0000 0.5000
Ta 0.0000 0.5000 0.5000
Ta 0.5000 0.5000 0.5000
Tl 0.0000 0.0000 0.0000

Calculated values
Crystal system: hexagonal

=====

3.
VASP calculation (PBE) on a relaxed structure of TmTa2S5.

Cell lengths 6.9617, 6.9617, 16.0823 Å; angles 90.00, 90.00, 150.84 degrees
Sites, in units of the cell vectors:
S 0.6621 0.3379 0.0764
S 0.9223 0.0777 0.0985
S 0.2358 0.7642 0.2500
S 0.9223 0.0777 0.4015
S 0.6621 0.3379 0.4236
S 0.3379 0.6621 0.5764
S 0.0777 0.9223 0.5985
S 0.7642 0.2358 0.7500
S 0.0777 0.9223 0.9015
S 0.3379 0.6621 0.9236
Ta 0.2904 0.7096 0.0692
Ta 0.2904 0.7096 0.4308
Ta 0.7096 0.2904 0.5692
Ta 0.7096 0.2904 0.9308
Tm 0.8663 0.1337 0.2500
Tm 0.1337 0.8663 0.7500

Calculated values
Crystal system: orthorhombic

=====

4.
VASP calculation (PBE) on a relaxed structure of YTaS4.

Cell lengths 8.9086, 8.9086, 6.3282 Å; angles 90.00, 90.00, 156.88 degrees
Sites, in units of the cell vectors:
S 0.9081 0.0919 0.1992
S 0.0919 0.9081 0.1992
S 0.5865 0.4135 0.6346
S 0.4135 0.5865 0.6346
Ta 0.0000 0.0000 0.4846
Y 0.5000 0.5000 0.9997

Calculated values
Crystal system: orthorhombic

=====

5.
VASP calculation (PBE) on a relaxed structure of YTaS4.

Cell lengths 3.5672, 7.2184, 7.2184 Å; angles 127.95, 90.00, 90.00 degrees
Sites, in units of the cell vectors:
S 0.0000 0.4836 0.2481
S 0.0000 0.2481 0.4836
S 0.5000 0.9248 0.6759
S 0.5000 0.6759 0.9248
Ta 0.5000 0.5151 0.5151
Y 0.0000 0.0005 0.0005

Calculated values
Crystal system: orthorhombic

=====

6.
VASP calculation (PBE) on a relaxed structure of TbS2.

Cell lengths 6.4234, 6.4234, 4.1018 Å; angles 90.00, 90.00, 90.00 degrees
Each line ends with the local moment (μB).
Sites, in units of the cell vectors:
S 0.2995 0.2995 0.0000  0.27
S 0.7005 0.7005 0.0000  0.27
S 0.7995 0.2005 0.5000  0.29
S 0.2005 0.7995 0.5000  0.29
Tb 0.0000 0.0000 0.0000  -0.01
Tb 0.5000 0.5000 0.5000  -0.01

Calculated values
Crystal system: tetragonal

=====

no.,E (eV/cell),ρ (g/cm3)
1,-122.2,6.70
2,-64.0,7.34
3,-115.5,6.04
4,-41.8,3.35
5,-41.8,4.51
6,-33.5,4.38